Entry 1:
K3Pr2HoS6 | PBE | optimized geometry

a b c (Å): 7.215 7.215 7.778
angles (deg): 98.91 98.91 120.00
Atoms (fractional coordinates):
S1 0.069 0.391 0.206
S2 0.254 0.254 0.794
S3 0.391 0.069 0.206
S4 0.609 0.931 0.794
S5 0.746 0.746 0.206
S6 0.931 0.609 0.794
K1 0.168 0.832 0.500
K2 0.832 0.168 0.500
K3 0.500 0.500 0.500
Ho1 0.000 0.000 0.000
Pr1 0.333 0.667 0.000
Pr2 0.667 0.333 0.000

Density of states at the Fermi level, states/eV per cell: 0.00
SG: C2/m, No. 12
E_form (uncorrected), eV per atom: -1.853
Uncorrected energy, eV per atom: -5.369
Total moment, μB per formula unit: 0.0

***

Entry 2:
KPrHo2Se4 | PBE | optimized geometry

a b c (Å): 4.131 7.419 7.312
angles (deg): 71.71 90.00 90.00
Atoms (fractional coordinates):
Ho1 0.500 0.000 0.500
Ho2 0.000 0.000 0.000
Pr1 0.500 0.500 0.000
Se1 0.000 0.229 0.254
Se2 0.500 0.223 0.765
Se3 0.000 0.771 0.746
Se4 0.500 0.777 0.235
K1 0.000 0.500 0.500

Density of states at the Fermi level, states/eV per cell: 2.71
SG: P2/m, No. 10
E_form (uncorrected), eV per atom: -1.733
Uncorrected energy, eV per atom: -5.354
Total moment, μB per formula unit: 0.0

***

Entry 3:
K3PrHo2Se6 | PBE | optimized geometry

a b c (Å): 7.377 7.377 8.079
angles (deg): 98.76 98.76 120.01
Atoms (fractional coordinates):
Ho1 0.333 0.667 0.000
Ho2 0.667 0.333 0.000
Se1 0.725 0.725 0.207
Se2 0.413 0.069 0.207
Se3 0.931 0.587 0.793
Se4 0.587 0.931 0.793
Se5 0.275 0.275 0.793
Se6 0.069 0.413 0.207
Pr1 0.000 0.000 0.000
K1 0.835 0.165 0.500
K2 0.165 0.835 0.500
K3 0.500 0.500 0.500

Density of states at the Fermi level, states/eV per cell: 0.00
SG: C2/m, No. 12
E_form (uncorrected), eV per atom: -1.754
Uncorrected energy, eV per atom: -4.932
Total moment, μB per formula unit: 0.0

***

Entry 4:
K3Pr2HoSe6 | PBE | optimized geometry

a b c (Å): 7.484 7.484 8.101
angles (deg): 98.87 98.87 120.00
Atoms (fractional coordinates):
K1 0.168 0.832 0.500
K2 0.500 0.500 0.500
K3 0.832 0.168 0.500
Se1 0.930 0.607 0.791
Se2 0.607 0.930 0.791
Se3 0.393 0.070 0.209
Se4 0.747 0.747 0.209
Se5 0.253 0.253 0.791
Se6 0.070 0.393 0.209
Pr1 0.334 0.666 0.000
Pr2 0.666 0.334 0.000
Ho1 0.000 0.000 0.000

Density of states at the Fermi level, states/eV per cell: 0.00
SG: C2/m, No. 12
E_form (uncorrected), eV per atom: -1.750
Uncorrected energy, eV per atom: -4.945
Total moment, μB per formula unit: 0.0

***

Entry 5:
KPr3Ho2Te6 | PBE | optimized geometry

a b c (Å): 4.457 9.139 10.107
angles (deg): 103.38 102.74 90.00
Atoms (fractional coordinates):
Pr1 0.157 0.817 0.314
Pr2 0.500 0.500 0.000
Pr3 0.843 0.183 0.686
Te1 0.674 0.095 0.348
Te2 0.670 0.573 0.341
Te3 0.992 0.741 0.984
Te4 0.326 0.905 0.652
Te5 0.330 0.427 0.659
Te6 0.008 0.259 0.016
Ho1 0.166 0.339 0.332
Ho2 0.834 0.661 0.668
K1 0.500 0.000 0.000

Density of states at the Fermi level, states/eV per cell: 4.24
SG: C2/m, No. 12
E_form (uncorrected), eV per atom: -1.347
Uncorrected energy, eV per atom: -4.967
Total moment, μB per formula unit: 0.0

***

Entry 6:
K4Pr3HoTe8 | PBE | optimized geometry

a b c (Å): 9.216 9.827 9.217
angles (deg): 117.97 120.00 90.00
Atoms (fractional coordinates):
Te1 0.233 0.712 0.466
Te2 0.739 0.717 0.478
Te3 0.747 0.712 0.980
Te4 0.261 0.283 0.522
Te5 0.767 0.288 0.020
Te6 0.253 0.288 0.020
Te7 0.767 0.288 0.534
Te8 0.233 0.712 0.980
Pr1 0.000 0.500 0.500
Pr2 0.500 0.500 0.500
Pr3 0.500 0.500 0.000
K1 0.500 0.000 0.000
K2 0.500 0.000 0.500
K3 0.000 0.000 0.000
K4 0.000 0.000 0.500
Ho1 0.000 0.500 0.000

SG: R-3m, No. 166
E_form (uncorrected), eV per atom: -1.409
Uncorrected energy, eV per atom: -4.436
Total moment, μB per formula unit: 0.0